Entry 1:
A plane-wave DFT calculation with PBE was carried out for Ac6Nd4Y after structural relaxation.

Summary:
total moment = 0.0 μB/cell
N(E_F) = 35.7 states/eV/cell
calculated formation energy = 3.39 eV per formula unit

Lattice parameters (Å, degrees): 7.050 7.050 18.784 90.00 90.00 90.00
Space group I-42m (No. 121)
Unique sites:
1 Ac 0.000 0.500 0.000
2 Ac 0.183 0.183 0.145
3 Nd 0.184 0.184 0.333
4 Y 0.000 0.000 0.500

Entry 2:
A plane-wave DFT calculation with PBE was carried out for AcNd5Y after structural relaxation.

Summary:
total moment = 0.0 μB/cell
N(E_F) = 42.5 states/eV/cell
energy relative to the lowest polymorph listed for this composition = 88 meV per atom
calculated formation energy = 1.22 eV per formula unit

Lattice parameters (Å, degrees): 12.366 12.511 7.079 90.00 109.55 90.00
Space group C2/c (No. 15)
Unique sites:
1 Ac 0.000 0.000 0.000
2 Nd 0.000 0.286 0.250
3 Nd 0.196 0.206 0.766
4 Nd 0.227 0.454 0.575
5 Y 0.000 0.403 0.750

Entry 3:
A plane-wave DFT calculation with PBE was carried out for AcNd4Y2 after structural relaxation.

Summary:
total moment = 0.0 μB/cell
N(E_F) = 25.6 states/eV/cell
energy relative to the lowest polymorph listed for this composition = 0 meV per atom
calculated formation energy = 1.56 eV per formula unit

Lattice parameters (Å, degrees): 12.234 6.576 6.437 90.00 98.67 90.00
Space group C2/m (No. 12)
Unique sites:
1 Ac 0.000 0.000 0.000
2 Nd 0.163 0.000 0.508
3 Nd 0.250 0.250 0.000
4 Y 0.039 0.500 0.266

Entry 4:
A plane-wave DFT calculation with PBE was carried out for Ac5Nd4Y2 after structural relaxation.

Summary:
total moment = 0.0 μB/cell
N(E_F) = 20.3 states/eV/cell
calculated formation energy = 1.71 eV per formula unit

Lattice parameters (Å, degrees): 9.394 3.705 12.589 90.00 92.10 90.00
Space group P2/m (No. 10)
Unique sites:
1 Ac 0.000 0.000 0.000
2 Ac 0.198 0.000 0.525
3 Ac 0.283 0.000 0.818
4 Nd 0.077 0.500 0.267
5 Nd 0.462 0.500 0.355
6 Y 0.349 0.000 0.119

Entry 5:
A plane-wave DFT calculation with PBE was carried out for AcNd5Y3 after structural relaxation.

Summary:
total moment = 0.0 μB/cell
N(E_F) = 52.0 states/eV/cell
energy relative to the lowest polymorph listed for this composition = 0 meV per atom
calculated formation energy = 1.18 eV per formula unit

Lattice parameters (Å, degrees): 7.430 17.957 9.593 90.00 90.00 90.00
Space group Imma (No. 74)
Unique sites:
1 Ac 0.000 0.250 0.108
2 Nd 0.000 0.250 0.470
3 Nd 0.242 0.083 0.426
4 Y 0.000 0.072 0.756
5 Y 0.250 0.250 0.750

Entry 6:
A plane-wave DFT calculation with PBE was carried out for Ac2Nd7Y2 after structural relaxation.

Summary:
total moment = 0.0 μB/cell
N(E_F) = 29.7 states/eV/cell
energy relative to the lowest polymorph listed for this composition = 0 meV per atom
calculated formation energy = 1.22 eV per formula unit

Lattice parameters (Å, degrees): 3.732 18.293 11.977 90.00 90.00 90.00
Space group Imm2 (No. 44)
Unique sites:
1 Ac 0.000 0.000 0.000
2 Ac 0.000 0.500 0.208
3 Nd 0.000 0.000 0.431
4 Nd 0.000 0.201 0.722
5 Nd 0.000 0.326 0.475
6 Nd 0.000 0.339 0.976
7 Y 0.000 0.131 0.223

Entry 7:
A plane-wave DFT calculation with PBE was carried out for Ac3Nd7Y2 after structural relaxation.

Summary:
total moment = 0.0 μB/cell
N(E_F) = 18.5 states/eV/cell
calculated formation energy = 2.59 eV per formula unit

Lattice parameters (Å, degrees): 3.798 5.873 21.125 90.00 95.17 90.00
Space group P2/m (No. 10)
Unique sites:
1 Ac 0.000 0.000 0.000
2 Ac 0.323 0.500 0.648
3 Nd 0.090 0.500 0.175
4 Nd 0.218 0.000 0.436
5 Nd 0.428 0.000 0.859
6 Nd 0.500 0.500 0.000
7 Y 0.141 0.000 0.279

Entry 8:
A plane-wave DFT calculation with PBE was carried out for Ac3Nd8Y4 after structural relaxation.

Summary:
total moment = 0.0 μB/cell
N(E_F) = 49.8 states/eV/cell
calculated formation energy = 5.22 eV per formula unit

Lattice parameters (Å, degrees): 14.170 12.655 7.034 90.00 117.78 90.00
Space group C2/m (No. 12)
Unique sites:
1 Ac 0.000 0.000 0.000
2 Ac 0.250 0.250 0.500
3 Nd 0.000 0.209 0.500
4 Nd 0.000 0.258 0.000
5 Nd 0.198 0.000 0.673
6 Nd 0.237 0.500 0.806
7 Y 0.000 0.500 0.000
8 Y 0.000 0.500 0.500
9 Y 0.250 0.250 0.000

Entry 9:
A plane-wave DFT calculation with PBE was carried out for Ac4Nd2Y after structural relaxation.

Summary:
total moment = 0.0 μB/cell
N(E_F) = 24.7 states/eV/cell
calculated formation energy = 1.55 eV per formula unit

Lattice parameters (Å, degrees): 6.261 24.668 3.747 90.00 90.00 90.00
Space group Cmmm (No. 65)
Unique sites:
1 Ac 0.000 0.078 0.000
2 Ac 0.000 0.363 0.500
3 Nd 0.000 0.214 0.500
4 Y 0.000 0.500 0.000

Entry 10:
A plane-wave DFT calculation with PBE was carried out for AcNd3Y after structural relaxation.

Summary:
total moment = 0.0 μB/cell
N(E_F) = 17.8 states/eV/cell
energy relative to the lowest polymorph listed for this composition = 12 meV per atom
calculated formation energy = 0.21 eV per formula unit

Lattice parameters (Å, degrees): 3.766 8.840 11.632 105.19 99.29 90.05
Space group P-1 (No. 2)
Unique sites:
1 Ac 0.214 0.308 0.429
2 Nd 0.180 0.877 0.358
3 Nd 0.388 0.486 0.776
4 Nd 0.420 0.926 0.842
5 Y 0.016 0.714 0.032

Entry 11:
A plane-wave DFT calculation with PBE was carried out for AcNd12Y6 after structural relaxation.

Summary:
total moment = 0.0 μB/cell
N(E_F) = 51.6 states/eV/cell
energy relative to the lowest polymorph listed for this composition = 46 meV per atom
calculated formation energy = 4.39 eV per formula unit

Lattice parameters (Å, degrees): 11.018 11.018 11.018 90.00 90.00 90.00
Space group Im-3 (No. 204)
Unique sites:
1 Ac 0.000 0.000 0.000
2 Nd 0.000 0.198 0.264
3 Y 0.000 0.357 0.500

Entry 12:
A plane-wave DFT calculation with PBE was carried out for Ac2Nd4Y3 after structural relaxation.

Summary:
total moment = 0.0 μB/cell
N(E_F) = 29.5 states/eV/cell
energy relative to the lowest polymorph listed for this composition = 0 meV per atom
calculated formation energy = 0.35 eV per formula unit

Lattice parameters (Å, degrees): 11.775 5.266 11.113 90.00 108.24 90.00
Space group C2/m (No. 12)
Unique sites:
1 Ac 0.166 0.000 0.224
2 Nd 0.001 0.500 0.337
3 Nd 0.166 0.000 0.888
4 Y 0.000 0.500 0.000
5 Y 0.164 0.000 0.554

Entry 13:
A plane-wave DFT calculation with PBE was carried out for Ac3NdY4 after structural relaxation.

Summary:
total moment = 0.0 μB/cell
N(E_F) = 28.3 states/eV/cell
calculated formation energy = 1.26 eV per formula unit

Lattice parameters (Å, degrees): 3.660 12.126 13.563 90.00 90.00 90.00
Space group Immm (No. 71)
Unique sites:
1 Ac 0.000 0.000 0.000
2 Ac 0.000 0.500 0.237
3 Nd 0.000 0.000 0.500
4 Y 0.000 0.246 0.366

Entry 14:
A plane-wave DFT calculation with PBE was carried out for Ac3Nd6Y2 after structural relaxation.

Summary:
total moment = 0.0 μB/cell
N(E_F) = 74.1 states/eV/cell
calculated formation energy = 1.45 eV per formula unit

Lattice parameters (Å, degrees): 5.9401 5.9401 40.2233 90.00 90.00 120.00
Space group R-3m (No. 166, hexagonal axes)
Unique sites:
1 Ac 0.0000 0.0000 0.0000
2 Ac 0.0000 0.0000 0.2705
3 Nd 0.0000 0.0000 0.1005
4 Nd 0.0000 0.0000 0.1837
5 Nd 0.0000 0.0000 0.3605
6 Y 0.0000 0.0000 0.4536

Entry 15:
A plane-wave DFT calculation with PBE was carried out for Ac6NdY after structural relaxation.

Summary:
total moment = 0.0 μB/cell
N(E_F) = 27.7 states/eV/cell
energy relative to the lowest polymorph listed for this composition = 81 meV per atom
calculated formation energy = 0.85 eV per formula unit

Lattice parameters (Å, degrees): 17.521 6.395 6.524 90.00 111.78 90.00
Space group C2/m (No. 12)
Unique sites:
1 Ac 0.120 0.000 0.084
2 Ac 0.120 0.500 0.654
3 Ac 0.249 0.000 0.702
4 Nd 0.000 0.500 0.000
5 Y 0.000 0.000 0.500

Entry 16:
A plane-wave DFT calculation with PBE was carried out for AcNd3Y6 after structural relaxation.

Summary:
total moment = 0.0 μB/cell
N(E_F) = 67.2 states/eV/cell
energy relative to the lowest polymorph listed for this composition = 177 meV per atom
calculated formation energy = 3.03 eV per formula unit

Lattice parameters (Å, degrees): 10.0577 10.0577 12.0247 90.00 90.00 120.00
Space group R3 (No. 146, hexagonal axes)
Unique sites:
1 Ac 0.0000 0.0000 0.0000
2 Nd 0.0000 0.0000 0.2613
3 Nd 0.0000 0.0000 0.4999
4 Nd 0.0000 0.0000 0.7384
5 Y 0.0001 0.3388 0.0007
6 Y 0.0000 0.6705 0.5005

Entry 17:
A plane-wave DFT calculation with PBE was carried out for AcNdY after structural relaxation.

Summary:
total moment = 0.0 μB/cell
N(E_F) = 15.9 states/eV/cell
energy relative to the lowest polymorph listed for this composition = 10 meV per atom
calculated formation energy = 0.15 eV per formula unit

Lattice parameters (Å, degrees): 6.583 12.188 6.334 90.00 118.60 90.00
Space group P2_1/c (No. 14)
Unique sites:
1 Ac 0.169 0.132 0.158
2 Nd 0.184 0.615 0.009
3 Y 0.483 0.618 0.658

Entry 18:
A plane-wave DFT calculation with PBE was carried out for AcNd8Y5 after structural relaxation.

Summary:
total moment = 0.0 μB/cell
N(E_F) = 48.3 states/eV/cell
calculated formation energy = 2.73 eV per formula unit

Lattice parameters (Å, degrees): 10.247 12.605 8.925 90.00 120.81 90.00
Space group C2 (No. 5)
Unique sites:
1 Ac 0.000 0.000 0.000
2 Nd 0.108 0.758 0.225
3 Nd 0.110 0.117 0.416
4 Nd 0.127 0.600 0.708
5 Nd 0.210 0.518 0.126
6 Y 0.000 0.861 0.500
7 Y 0.124 0.397 0.414
8 Y 0.160 0.269 0.969

Entry 19:
A plane-wave DFT calculation with PBE was carried out for AcNd5Y after structural relaxation.

Summary:
total moment = 0.0 μB/cell
N(E_F) = 41.6 states/eV/cell
energy relative to the lowest polymorph listed for this composition = 0 meV per atom
calculated formation energy = 0.60 eV per formula unit

Lattice parameters (Å, degrees): 8.993 10.185 11.844 90.00 108.74 90.00
Space group C2/c (No. 15)
Unique sites:
1 Ac 0.250 0.250 0.000
2 Nd 0.000 0.082 0.750
3 Nd 0.126 0.427 0.668
4 Nd 0.171 0.104 0.534
5 Y 0.000 0.259 0.250

Entry 20:
A plane-wave DFT calculation with PBE was carried out for Ac2NdY after structural relaxation.

Summary:
total moment = 0.0 μB/cell
N(E_F) = 5.8 states/eV/cell
energy relative to the lowest polymorph listed for this composition = 0 meV per atom
calculated formation energy = 0.12 eV per formula unit

Lattice parameters (Å, degrees): 5.445 5.445 5.244 90.00 90.00 90.00
Space group P4/mmm (No. 123)
Unique sites:
1 Ac 0.000 0.500 0.000
2 Nd 0.000 0.000 0.500
3 Y 0.500 0.500 0.500